Record 1
## FeCu2W (PBE)

Data for a relaxed structure of FeCu2W.

Cell and atoms, written as extended XYZ:
```
4
Lattice="0.000 2.960 2.960 2.960 0.000 2.960 2.960 2.960 0.000" Properties=species:S:1:pos:R:3 pbc="T T T"
Cu 1.480 1.480 1.480
Cu 4.440 4.440 4.440
Fe 0.000 0.000 0.000
W 2.960 2.960 2.960
```

Values from the calculation:
Total DFT energy (no corrections): -6.929 eV per atom
Formation energy: 473 meV per atom
Density of states at the Fermi level: 4.93 states/eV per cell
SG: Fm-3m
Theoretical density: 11.7 Mg/m³
Distance to the lowest polymorph of the same formula: 0.267 eV/atom



Record 2
## Np2AsP3Ir4 (PBE)

Data for a relaxed structure of Np2AsP3Ir4.

Cell and atoms, written as extended XYZ:
```
10
Lattice="-1.384 2.662 -2.815 -1.079 -3.136 -2.435 -8.980 -0.195 4.229" Properties=species:S:1:pos:R:3 pbc="T T T"
As -5.721 -0.334 -0.510
Ir -1.231 -0.237 -2.625
P -4.490 -0.098 2.115
P -8.438 1.163 2.241
Np -7.273 -1.714 1.953
Np -2.939 1.282 -0.349
Ir -3.870 -1.640 0.351
Ir 0.000 0.000 0.000
Ir -6.341 1.208 1.253
P -1.773 -1.595 -0.636
```

Values from the calculation:
Total DFT energy (no corrections): -8.803 eV per atom
Formation energy: -582 meV per atom
Density of states at the Fermi level: 21.03 states/eV per cell
SG: P-4m2
Theoretical density: 13.9 Mg/m³



Record 3
## KBeTl4 (PBE)

Data for a relaxed structure of KBeTl4.

Cell and atoms, written as extended XYZ:
```
6
Lattice="2.853 -4.832 3.346 0.767 0.515 6.467 -3.552 -3.731 4.018" Properties=species:S:1:pos:R:3 pbc="T T T"
Tl -1.739 -4.879 7.194
K 0.000 0.000 0.000
Tl 0.026 -3.024 5.197
Be 0.051 -6.036 10.373
Tl 0.407 -2.769 8.411
Tl 1.443 -5.426 6.860
```

Values from the calculation:
Total DFT energy (no corrections): -1.932 eV per atom
Formation energy: 449 meV per atom
Density of states at the Fermi level: 3.59 states/eV per cell
SG: F-43m
Theoretical density: 7.3 Mg/m³



Record 4
## ReAgHg (PBE)

Data for a relaxed structure of ReAgHg.

Cell and atoms, written as extended XYZ:
```
3
Lattice="5.376 0.014 -0.008 3.068 4.415 0.008 -3.762 -3.091 2.280" Properties=species:S:1:pos:R:3 pbc="T T T"
Re 5.595 2.935 0.000
Hg 2.801 1.469 0.000
Ag 0.048 0.025 0.000
```

Values from the calculation:
Total DFT energy (no corrections): -4.245 eV per atom
Formation energy: 956 meV per atom
Density of states at the Fermi level: 1.81 states/eV per cell
SG: Imm2
Theoretical density: 15.2 Mg/m³
Distance to the lowest polymorph of the same formula: 0.316 eV/atom



Q: What is the formula in the first record?
A: FeCu2W



Q: Which of these has the highest density of states at the Fermi level?
A: Np2AsP3Ir4



Q: Among the records above, which one has the highest total DFT energy (no corrections)?
A: KBeTl4